(one)
# NbZnFeSi, relaxed, DFT PBE-GGA
data_NbZnFeSi
_cell_length_a 4.259
_cell_length_b 4.259
_cell_length_c 4.259
_cell_angle_alpha 60.00
_cell_angle_beta 60.00
_cell_angle_gamma 60.00
_symmetry_space_group_name_H-M 'P 1'
_symmetry_Int_Tables_number 1
_symmetry_space_group_name_Hall 'P 1'
loop_
_atom_site_label
_atom_site_type_symbol
_atom_site_fract_x
_atom_site_fract_y
_atom_site_fract_z
_atom_site_occupancy
Zn1 Zn 0.250 0.250 0.250 1
Nb1 Nb 0.500 0.500 0.500 1
Fe1 Fe 0.750 0.750 0.750 1
Si1 Si 0.000 0.000 0.000 1
# Symmetry: F-43m

(two)
# NbZnFeSi, relaxed, DFT PBE-GGA
data_NbZnFeSi
_cell_length_a 4.280
_cell_length_b 4.280
_cell_length_c 4.280
_cell_angle_alpha 60.00
_cell_angle_beta 60.00
_cell_angle_gamma 60.00
_symmetry_space_group_name_H-M 'P 1'
_symmetry_Int_Tables_number 1
_symmetry_space_group_name_Hall 'P 1'
loop_
_atom_site_label
_atom_site_type_symbol
_atom_site_fract_x
_atom_site_fract_y
_atom_site_fract_z
_atom_site_occupancy
Fe1 Fe 0.750 0.750 0.750 1
Nb1 Nb 0.250 0.250 0.250 1
Si1 Si 0.000 0.000 0.000 1
Zn1 Zn 0.500 0.500 0.500 1
# Symmetry: F-43m

Energy comparison, zero being the most stable, in meV per atom: (one) 0; (two) 12.

(one)
# NbZnFeSn, relaxed, DFT PBE-GGA
data_NbZnFeSn
_cell_length_a 4.479
_cell_length_b 4.479
_cell_length_c 4.479
_cell_angle_alpha 60.00
_cell_angle_beta 60.00
_cell_angle_gamma 60.00
_symmetry_space_group_name_H-M 'P 1'
_symmetry_Int_Tables_number 1
_symmetry_space_group_name_Hall 'P 1'
loop_
_atom_site_label
_atom_site_type_symbol
_atom_site_fract_x
_atom_site_fract_y
_atom_site_fract_z
_atom_site_occupancy
Fe1 Fe 0.750 0.750 0.750 1
Zn1 Zn 0.250 0.250 0.250 1
Sn1 Sn 0.000 0.000 0.000 1
Nb1 Nb 0.500 0.500 0.500 1
# Symmetry: F-43m

(two)
# NbZnFeSn, relaxed, DFT PBE-GGA
data_NbZnFeSn
_cell_length_a 4.533
_cell_length_b 4.533
_cell_length_c 4.533
_cell_angle_alpha 60.00
_cell_angle_beta 60.00
_cell_angle_gamma 60.00
_symmetry_space_group_name_H-M 'P 1'
_symmetry_Int_Tables_number 1
_symmetry_space_group_name_Hall 'P 1'
loop_
_atom_site_label
_atom_site_type_symbol
_atom_site_fract_x
_atom_site_fract_y
_atom_site_fract_z
_atom_site_occupancy
Zn1 Zn 0.500 0.500 0.500 1
Nb1 Nb 0.250 0.250 0.250 1
Fe1 Fe 0.750 0.750 0.750 1
Sn1 Sn 0.000 0.000 0.000 1
# Symmetry: F-43m

Energy comparison, zero being the most stable, in meV per atom: (one) 0; (two) 123.

(one)
# YNbFe, relaxed, DFT PBE-GGA
data_YNbFe
_cell_length_a 4.462
_cell_length_b 4.462
_cell_length_c 4.462
_cell_angle_alpha 60.00
_cell_angle_beta 60.00
_cell_angle_gamma 60.00
_symmetry_space_group_name_H-M 'P 1'
_symmetry_Int_Tables_number 1
_symmetry_space_group_name_Hall 'P 1'
loop_
_atom_site_label
_atom_site_type_symbol
_atom_site_fract_x
_atom_site_fract_y
_atom_site_fract_z
_atom_site_occupancy
Fe1 Fe 0.500 0.500 0.500 1
Nb1 Nb 0.250 0.250 0.250 1
Y1 Y 0.000 0.000 0.000 1
# Symmetry: F-43m

(two)
# YNbFe, relaxed, DFT PBE-GGA
data_YNbFe
_cell_length_a 4.568
_cell_length_b 4.568
_cell_length_c 4.568
_cell_angle_alpha 60.00
_cell_angle_beta 60.00
_cell_angle_gamma 60.00
_symmetry_space_group_name_H-M 'P 1'
_symmetry_Int_Tables_number 1
_symmetry_space_group_name_Hall 'P 1'
loop_
_atom_site_label
_atom_site_type_symbol
_atom_site_fract_x
_atom_site_fract_y
_atom_site_fract_z
_atom_site_occupancy
Fe1 Fe 0.250 0.250 0.250 1
Y1 Y 0.000 0.000 0.000 1
Nb1 Nb 0.750 0.750 0.750 1
# Symmetry: F-43m

Energy comparison, zero being the most stable, in meV per atom: (one) 0; (two) 563.